Entry 1:
This record from Alexandria via LeMat-Bulk describes an optimized crystal structure of CoRu2Se. The functional is PBE-GGA.

As for the raw formation energy: 0.273 eV/atom. The value obtained for the magnetization is 0.57 Bohr magnetons per cell.

The space group is Pm (No. 6) and the conventional cell measures 2.836, 3.768 and 5.400 Å, with angles of 90.00, 105.21 and 90.00 degrees. The asymmetric unit holds Co at (0.000, 0.000, 0.000), Ru at (0.251, 0.000, 0.503), Ru at (0.634, 0.500, 0.269) and Se at (0.409, 0.500, 0.814).

***

Entry 2:
This record from Alexandria via LeMat-Bulk describes an optimized crystal structure of BaCa3Ge. The functional is PBE-GGA.

Its energy of formation is -0.2065 eV/atom. The value obtained for the magnetization is 0.00 Bohr magnetons per cell.

The space group is Pm-3m (No. 221) and the conventional cell measures 5.910, 5.910 and 5.910 Å, with angles of 90.00, 90.00 and 90.00 degrees. The asymmetric unit holds Ba at (0.000, 0.000, 0.000), Ca at (0.000, 0.500, 0.500) and Ge at (0.500, 0.500, 0.500).

***

Entry 3:
This record from Alexandria via LeMat-Bulk describes an optimized crystal structure of K2YGaS4. The functional is PBE-GGA.

As for the raw formation energy: -1.241 eV/atom. The value obtained for the magnetization is 0.00 Bohr magnetons per cell.

The space group is C2/c (No. 15) and the conventional cell measures 11.469, 11.652 and 7.942 Å, with angles of 90.00, 133.61 and 90.00 degrees. The asymmetric unit holds K at (0.000, 0.000, 0.000), K at (0.250, 0.250, 0.000), Y at (0.250, 0.250, 0.500), Ga at (0.000, 0.500, 0.000), S at (0.000, 0.270, 0.024) and S at (0.202, 0.490, 0.454).

***

Entry 4:
This record from Alexandria via LeMat-Bulk describes an optimized crystal structure of Nd2NbO5. The functional is PBE-GGA.

As for the raw formation energy: -3.018 eV/atom. The value obtained for the magnetization is 4.00 Bohr magnetons per cell.

The space group is Pnma (No. 62) and the conventional cell measures 10.979, 3.892 and 11.823 Å, with angles of 90.00, 90.00 and 90.00 degrees. The asymmetric unit holds Nd at (0.121, 0.250, 0.229), Nd at (0.133, 0.250, 0.560), Nb at (0.166, 0.250, 0.887), O at (0.001, 0.250, 0.838), O at (0.004, 0.750, 0.602), O at (0.229, 0.250, 0.049), O at (0.236, 0.750, 0.888) and O at (0.246, 0.750, 0.236).

***

Entry 5:
This record from Alexandria via LeMat-Bulk describes an optimized crystal structure of SrLiTbIr. The functional is PBE-GGA.

Its energy of formation is -0.2412 eV/atom. The value obtained for the magnetization is 0.00 Bohr magnetons per cell.

The space group is F-43m (No. 216) and the conventional cell measures 7.183, 7.183 and 7.183 Å, with angles of 90.00, 90.00 and 90.00 degrees. The asymmetric unit holds Sr at (0.000, 0.000, 0.000), Li at (0.250, 0.250, 0.250), Tb at (0.000, 0.000, 0.500) and Ir at (0.250, 0.250, 0.750).

***

Entry 6:
This record from Alexandria via LeMat-Bulk describes an optimized crystal structure of BeBP. The functional is PBE-GGA.

Its energy of formation is 0.0156 eV/atom. The value obtained for the magnetization is 0.00 Bohr magnetons per cell.

The space group is C2 (No. 5) and the conventional cell measures 3.145, 6.422 and 6.801 Å, with angles of 90.00, 103.18 and 90.00 degrees. The asymmetric unit holds Be at (0.000, 0.000, 0.000), Be at (0.000, 0.433, 0.500), B at (0.062, 0.694, 0.123) and P at (0.153, 0.179, 0.298).

***

Entry 7:
This record from Alexandria via LeMat-Bulk describes an optimized crystal structure of Er4Hf. The functional is PBE-GGA.

Its energy of formation is 0.6463 eV/atom. The value obtained for the magnetization is 0.00 Bohr magnetons per cell.

The space group is Pm-3m (No. 221) and the conventional cell measures 5.516, 5.516 and 5.516 Å, with angles of 90.00, 90.00 and 90.00 degrees. The asymmetric unit holds Er at (0.000, 0.000, 0.000), Er at (0.000, 0.500, 0.500) and Hf at (0.500, 0.500, 0.500).

***

Entry 8:
This record from Alexandria via LeMat-Bulk describes an optimized crystal structure of LiVTe2. The functional is PBE-GGA.

As for the raw formation energy: -0.510 eV/atom. The value obtained for the magnetization is 0.00 Bohr magnetons per cell.

The space group is R3m (No. 160, hexagonal axes) and the conventional cell measures 3.6898, 3.6898 and 22.1550 Å, with angles of 90.00, 90.00 and 120.00 degrees. The asymmetric unit holds Li at (0.0000, 0.0000, 0.0000), V at (0.0000, 0.0000, 0.1620), Te at (0.0000, 0.0000, 0.4195) and Te at (0.0000, 0.0000, 0.5723).

***

Entry 9:
This record from Alexandria via LeMat-Bulk describes an optimized crystal structure of K3ErNp3Se8. The functional is PBE-GGA.

As for the raw formation energy: -1.370 eV/atom. The value obtained for the magnetization is 33.00 Bohr magnetons per cell.

The space group is R-3m (No. 166, hexagonal axes) and the conventional cell measures 8.4033, 8.4033 and 23.3122 Å, with angles of 90.00, 90.00 and 120.00 degrees. The asymmetric unit holds K at (0.0000, 0.5000, 0.0000), Er at (0.0000, 0.0000, 0.5000), Np at (0.0000, 0.5000, 0.5000), Se at (0.0000, 0.0000, 0.2345) and Se at (0.0017, 0.5008, 0.2333).

***

Entry 10:
This record from Alexandria via LeMat-Bulk describes an optimized crystal structure of Tl2Ni2Ge. The functional is PBE-GGA.

Its energy of formation is 0.2319 eV/atom. The value obtained for the magnetization is 0.00 Bohr magnetons per cell.

The space group is P4/mbm (No. 127) and the conventional cell measures 6.527, 6.527 and 4.266 Å, with angles of 90.00, 90.00 and 90.00 degrees. The asymmetric unit holds Tl at (0.165, 0.335, 0.000), Ni at (0.149, 0.649, 0.500) and Ge at (0.000, 0.000, 0.500).

***

Entry 11:
This record from Alexandria via LeMat-Bulk describes an optimized crystal structure of Na3TiAl2O6. The functional is PBE-GGA.

As for the raw formation energy: -2.166 eV/atom. The value obtained for the magnetization is 0.86 Bohr magnetons per cell.

The space group is P-3m1 (No. 164) and the conventional cell measures 5.6117, 5.6117 and 6.2983 Å, with angles of 90.00, 90.00 and 120.00 degrees. The asymmetric unit holds Na at (0.0000, 0.0000, 0.0000), Na at (0.3333, 0.6667, 0.6954), Ti at (0.0000, 0.0000, 0.5000), Al at (0.3333, 0.6667, 0.2467) and O at (0.1615, 0.3231, 0.3078).

***

Entry 12:
This record from Alexandria via LeMat-Bulk describes an optimized crystal structure of SbWAu2. The functional is PBE-GGA.

As for the raw formation energy: 0.481 eV/atom. The value obtained for the magnetization is 0.00 Bohr magnetons per cell.

The space group is C2/m (No. 12) and the conventional cell measures 12.143, 3.012 and 4.652 Å, with angles of 90.00, 111.48 and 90.00 degrees. The asymmetric unit holds Sb at (0.000, 0.000, 0.000), W at (0.000, 0.500, 0.500) and Au at (0.214, 0.000, 0.715).